First-principles (PBE) data for a relaxed ZnCrRh2 crystal, as listed in Alexandria.

Space-group type   No. 99
Volume   13.55 Å³ per atom
Total magnetic moment   0.00 μB per atom
Electronic total energy   -25.54 eV per cell

abc: 2.7207 2.7207 7.3212
angles: 90.00 90.00 90.00
Last column: nearest neighbours and their distance in Å.
Fractional coordinates of all 4 atoms:
Cr (0.5000, 0.5000, 0.7566)  4 Rh 2.54, 4 Zn 2.67, 4 Cr 2.72
Rh (0.0000, 0.0000, 0.9821)  4 Cr 2.54, 8 Rh 2.72-2.79
Rh (0.5000, 0.5000, 0.2583)  4 Zn 2.63, 8 Rh 2.72-2.79
Zn (0.0000, 0.0000, 0.5030)  4 Rh 2.63, 4 Cr 2.67, 4 Zn 2.72